# 1
Density functional theory data (PBE) for crystalline NaTiTl at its relaxed geometry.

Lattice parameters (Å, degrees): 4.9957 3.2730 8.5080 90.00 104.24 90.00
Fractional positions:
Na  0.0000  0.0000  0.0000
Na  0.4984  0.5000  0.9989
Ti  0.3656  0.0000  0.6250
Ti  0.6066  0.0000  0.3740
Tl  0.0850  0.5000  0.3203
Tl  0.8870  0.5000  0.6790

Computed properties:
DFT total energy: -3.645 eV/atom
Offset from the most stable computed form: 165 meV per atom
Calculated density: 6.78 g cm⁻³
Symmetry: No. 6
Fermi-level density of states: 1.87 states/eV/f.u.
Formation energy: 0.215 eV per atom


# 2
Density functional theory data (PBE) for crystalline NaTi2TlZn at its relaxed geometry.

Lattice parameters (Å, degrees): 4.7848 4.7848 5.0148 90.00 90.00 90.00
Fractional positions:
Na  0.0000  0.0000  0.0000
Ti  0.0000  0.5000  0.0000
Ti  0.5000  0.0000  0.0000
Tl  0.0000  0.0000  0.5000
Zn  0.5000  0.5000  0.5000

Computed properties:
DFT total energy: -2.724 eV/atom
Calculated density: 5.62 g cm⁻³
Symmetry: No. 123
Fermi-level density of states: 6.48 states/eV/f.u.
Formation energy: 1.426 eV per atom